First-principles (PBE) data for Mg3Ni4 after structural relaxation, as listed in the Alexandria database.

abc: 5.1919 5.1919 4.4598
angles: 90.00 90.00 120.00
Space group P6/mmm (No. 191)
Symmetry-distinct sites (fractional):
Mg 0.0000 0.5000 0.0000
Ni 0.0000 0.0000 0.2538
Ni 0.3333 0.6667 0.5000

Calculated values
Magnetic moment: 1.04 μB per cell
Energy relative to the lowest polymorph listed for this composition: 0.408 eV/atom
Crystal system: hexagonal